(1)
# Mg2Cr

A geometry-optimized Mg2Cr structure (GGA-PBEsol, Alexandria).

Cell lengths 3.0181, 4.2080, 10.5851 Å; angles 101.47, 98.20, 90.00 degrees
Closest atoms and distances in Å follow each position.
Fractional positions:
Cr (0.3960, 0.1460, 0.7920)  8 Mg 2.87-3.07, 2 Cr 3.02
Cr (0.6040, 0.8540, 0.2080)  8 Mg 2.87-3.07, 2 Cr 3.02
Mg (0.8157, 0.5657, 0.6313)  5 Mg 2.89-3.09, 4 Cr 3.07
Mg (0.0434, 0.2934, 0.0867)  5 Mg 2.76-3.02, 4 Cr 2.87
Mg (0.1843, 0.4343, 0.3687)  5 Mg 2.89-3.09, 4 Cr 3.07
Mg (0.9566, 0.7066, 0.9133)  5 Mg 2.76-3.02, 4 Cr 2.87

Computed properties:
**Fermi-level density of states**: 0.60 states/eV/atom
**Calculated formation energy**: 0.659 eV/atom
**VASP energy**: -3.90 eV/atom
**Calculated volume**: 130 Å³ per cell



(2)
# MgCr5

A geometry-optimized MgCr5 structure (GGA-PBEsol, Alexandria).

Cell lengths 4.7153, 4.7153, 4.7153 Å; angles 60.00, 60.00, 60.00 degrees
Closest atoms and distances in Å follow each position.
Fractional positions:
Cr (0.3744, 0.3744, 0.3744)  6 Cr 2.35-2.37
Cr (0.3744, 0.8767, 0.3744)  6 Cr 2.35-2.37
Cr (0.8767, 0.3744, 0.3744)  6 Cr 2.35-2.37
Cr (0.3744, 0.3744, 0.8767)  6 Cr 2.35-2.37
Cr (0.7500, 0.7500, 0.7500)  12 Cr 2.77, 4 Mg 2.89
Mg (0.0000, 0.0000, 0.0000)  16 Cr 2.76-2.89

Computed properties:
**Fermi-level density of states**: 0.43 states/eV/atom
**Calculated formation energy**: 0.315 eV/atom
**VASP energy**: -8.51 eV/atom
**Calculated volume**: 74 Å³ per cell



(3)
# Mg30MnCrO32

A geometry-optimized Mg30MnCrO32 structure (GGA-PBEsol, Alexandria).

Cell lengths 8.4338, 8.4722, 8.4722 Å; angles 90.00, 90.00, 90.00 degrees
Closest atoms and distances in Å follow each position.
Fractional positions:
O (0.0000, 0.0000, 0.2542)  5 Mg 2.08-2.12, 1 Mn 2.15
O (0.7410, 0.0000, 0.0000)  1 Cr 2.03, 4 Mg 2.13, 1 Mn 2.18
O (0.7502, 0.2495, 0.2495)  6 Mg 2.11-2.12
O (0.2497, 0.5000, 0.5000)  6 Mg 2.11-2.12
O (0.2498, 0.2495, 0.2495)  6 Mg 2.11-2.12
O (0.5000, 0.2510, 0.5000)  6 Mg 2.11-2.13
O (0.7502, 0.7505, 0.2495)  6 Mg 2.11-2.12
O (0.7503, 0.5000, 0.5000)  6 Mg 2.11-2.12
O (0.2590, 0.0000, 0.0000)  1 Cr 2.03, 4 Mg 2.13, 1 Mn 2.18
O (0.7507, 0.5000, 0.0000)  6 Mg 2.10-2.12
O (0.2493, 0.0000, 0.5000)  6 Mg 2.10-2.12
O (0.5000, 0.5000, 0.2510)  6 Mg 2.11-2.13
O (0.5000, 0.0000, 0.2574)  5 Mg 2.06-2.12, 1 Cr 2.18
O (0.0000, 0.7494, 0.5000)  6 Mg 2.11-2.12
O (0.2493, 0.5000, 0.0000)  6 Mg 2.10-2.12
O (0.0000, 0.2542, 0.0000)  5 Mg 2.08-2.12, 1 Mn 2.15
O (0.7507, 0.0000, 0.5000)  6 Mg 2.10-2.12
O (0.5000, 0.7490, 0.5000)  6 Mg 2.11-2.13
O (0.2498, 0.7505, 0.2495)  6 Mg 2.11-2.12
O (0.2498, 0.2495, 0.7505)  6 Mg 2.11-2.12
O (0.5000, 0.2574, 0.0000)  5 Mg 2.06-2.12, 1 Cr 2.18
O (0.5000, 0.5000, 0.7490)  6 Mg 2.11-2.13
O (0.2498, 0.7505, 0.7505)  6 Mg 2.11-2.12
O (0.0000, 0.5000, 0.7494)  6 Mg 2.11-2.12
O (0.0000, 0.7458, 0.0000)  5 Mg 2.08-2.12, 1 Mn 2.15
O (0.7502, 0.2495, 0.7505)  6 Mg 2.11-2.12
O (0.0000, 0.0000, 0.7458)  5 Mg 2.08-2.12, 1 Mn 2.15
O (0.7502, 0.7505, 0.7505)  6 Mg 2.11-2.12
O (0.5000, 0.0000, 0.7426)  5 Mg 2.06-2.12, 1 Cr 2.18
O (0.5000, 0.7426, 0.0000)  5 Mg 2.06-2.12, 1 Cr 2.18
O (0.0000, 0.5000, 0.2506)  6 Mg 2.11-2.12
O (0.0000, 0.2506, 0.5000)  6 Mg 2.11-2.12
Mg (0.2511, 0.0000, 0.7484)  6 O 2.10-2.13
Mg (0.5000, 0.7497, 0.2503)  6 O 2.11-2.12
Mg (0.7499, 0.5000, 0.2501)  6 O 2.11-2.12
Mg (0.5000, 0.7497, 0.7497)  6 O 2.11-2.12
Mg (0.7499, 0.5000, 0.7499)  6 O 2.11-2.12
Mg (0.7489, 0.0000, 0.7484)  6 O 2.10-2.13
Mg (0.2501, 0.5000, 0.7499)  6 O 2.11-2.12
Mg (0.7499, 0.7499, 0.5000)  6 O 2.11-2.12
Mg (0.7489, 0.2516, 0.0000)  6 O 2.10-2.13
Mg (0.0000, 0.5000, 0.5000)  6 O 2.11
Mg (0.0000, 0.0000, 0.5000)  6 O 2.08-2.12
Mg (0.0000, 0.5000, 0.0000)  6 O 2.08-2.12
Mg (0.2511, 0.0000, 0.2516)  6 O 2.10-2.13
Mg (0.2501, 0.2501, 0.5000)  6 O 2.11-2.12
Mg (0.2501, 0.5000, 0.2501)  6 O 2.11-2.12
Mg (0.5000, 0.5000, 0.0000)  6 O 2.06-2.13
Mg (0.2501, 0.7499, 0.5000)  6 O 2.11-2.12
Mg (0.5000, 0.2503, 0.2503)  6 O 2.11-2.12
Mg (0.5000, 0.2503, 0.7497)  6 O 2.11-2.12
Mg (0.0000, 0.7495, 0.2505)  6 O 2.11-2.12
Mg (0.7489, 0.0000, 0.2516)  6 O 2.10-2.13
Mg (0.7499, 0.2501, 0.5000)  6 O 2.11-2.12
Mg (0.0000, 0.2505, 0.2505)  6 O 2.11-2.12
Mg (0.2511, 0.7484, 0.0000)  6 O 2.10-2.13
Mg (0.7489, 0.7484, 0.0000)  6 O 2.10-2.13
Mg (0.5000, 0.5000, 0.5000)  6 O 2.11
Mg (0.0000, 0.2505, 0.7495)  6 O 2.11-2.12
Mg (0.2511, 0.2516, 0.0000)  6 O 2.10-2.13
Mg (0.5000, 0.0000, 0.5000)  6 O 2.06-2.13
Mg (0.0000, 0.7495, 0.7495)  6 O 2.11-2.12
Cr (0.5000, 0.0000, 0.0000)  6 O 2.03-2.18
Mn (0.0000, 0.0000, 0.0000)  6 O 2.15-2.18

Computed properties:
**Fermi-level density of states**: 0.08 states/eV/atom
**VASP energy**: -6.38 eV/atom
**Calculated volume**: 605 Å³ per cell



(4)
# MgMnCrS4

A geometry-optimized MgMnCrS4 structure (GGA-PBEsol, Alexandria).

Cell lengths 6.9712, 7.0514, 7.0514 Å; angles 60.73, 60.38, 60.38 degrees
Closest atoms and distances in Å follow each position.
Fractional positions:
Mg (0.1281, 0.1219, 0.6219)  4 S 2.40-2.41
Mg (0.8719, 0.8781, 0.3781)  4 S 2.40-2.41
S (0.2627, 0.2679, 0.2067)  2 Mn 2.35, 1 Cr 2.38, 1 Mg 2.41
S (0.7373, 0.7321, 0.7933)  2 Mn 2.35, 1 Cr 2.38, 1 Mg 2.41
S (0.2917, 0.7343, 0.2343)  1 Mn 2.34, 2 Cr 2.37, 1 Mg 2.40
S (0.2603, 0.2657, 0.7657)  1 Mn 2.34, 2 Cr 2.37, 1 Mg 2.40
S (0.7373, 0.2933, 0.2321)  2 Mn 2.35, 1 Cr 2.38, 1 Mg 2.41
S (0.7397, 0.7343, 0.2343)  1 Mn 2.34, 2 Cr 2.37, 1 Mg 2.40
S (0.7083, 0.2657, 0.7657)  1 Mn 2.34, 2 Cr 2.37, 1 Mg 2.40
S (0.2627, 0.7067, 0.7679)  2 Mn 2.35, 1 Cr 2.38, 1 Mg 2.41
Cr (0.5000, 0.5000, 0.5000)  6 S 2.37-2.38
Cr (0.5000, 0.0000, 0.0000)  6 S 2.37-2.38
Mn (0.5000, 0.5000, 0.0000)  6 S 2.34-2.35
Mn (0.0000, 0.5000, 0.0000)  6 S 2.34-2.35

Computed properties:
**Fermi-level density of states**: 0.55 states/eV/atom
**VASP energy**: -6.41 eV/atom
**Calculated volume**: 248 Å³ per cell



(5)
# MgCrMo2

A geometry-optimized MgCrMo2 structure (GGA-PBEsol, Alexandria).

Cell lengths 3.7554, 3.7554, 4.2819 Å; angles 90.00, 90.00, 90.00 degrees
Closest atoms and distances in Å follow each position.
Fractional positions:
Mo (0.5000, 0.0000, 0.0000)  4 Mo 2.66, 4 Cr 2.85, 4 Mg 2.85
Mo (0.0000, 0.5000, 0.0000)  4 Mo 2.66, 4 Cr 2.85, 4 Mg 2.85
Mg (0.0000, 0.0000, 0.5000)  4 Cr 2.66, 8 Mo 2.85
Cr (0.5000, 0.5000, 0.5000)  4 Mg 2.66, 8 Mo 2.85

Computed properties:
**Fermi-level density of states**: 0.95 states/eV/atom
**Calculated formation energy**: 0.534 eV/atom
**VASP energy**: -8.34 eV/atom
**Calculated volume**: 60 Å³ per cell



(6)
# MgCrMo2

A geometry-optimized MgCrMo2 structure (GGA-PBEsol, Alexandria).

Cell lengths 2.8675, 2.8675, 8.7981 Å; angles 80.62, 80.62, 60.00 degrees
Closest atoms and distances in Å follow each position.
Fractional positions:
Cr (0.5000, 0.5000, 0.5000)  6 Mo 2.49
Mo (0.7614, 0.7614, 0.7157)  3 Cr 2.49
Mo (0.2386, 0.2386, 0.2843)  3 Cr 2.49
Mg (0.0000, 0.0000, 0.0000)  6 Mg 2.87, 6 Mo 2.96

Computed properties:
**Fermi-level density of states**: 0.96 states/eV/atom
**Calculated formation energy**: 0.448 eV/atom
**VASP energy**: -8.43 eV/atom
**Calculated volume**: 62 Å³ per cell



(7)
# MgCrMo2

A geometry-optimized MgCrMo2 structure (GGA-PBEsol, Alexandria).

Cell lengths 2.6460, 2.6460, 8.6611 Å; angles 90.00, 90.00, 90.00 degrees
Closest atoms and distances in Å follow each position.
Fractional positions:
Mo (0.0000, 0.0000, 0.2277)  4 Mo 2.65, 4 Cr 2.72
Mo (0.0000, 0.0000, 0.7723)  4 Mo 2.65, 4 Cr 2.72
Mg (0.5000, 0.5000, 0.5000)  4 Mg 2.65
Cr (0.5000, 0.5000, 0.0000)  4 Cr 2.65, 8 Mo 2.72

Computed properties:
**Fermi-level density of states**: 0.96 states/eV/atom
**Calculated formation energy**: 0.478 eV/atom
**VASP energy**: -8.40 eV/atom
**Calculated volume**: 61 Å³ per cell



(8)
# MgCrMo2

A geometry-optimized MgCrMo2 structure (GGA-PBEsol, Alexandria).

Cell lengths 2.5704, 5.1306, 5.1306 Å; angles 118.41, 90.00, 90.00 degrees
Closest atoms and distances in Å follow each position.
Fractional positions:
Cr (0.5000, 0.0000, 0.0000)  2 Cr 2.57, 2 Mg 2.63, 8 Mo 2.87
Mg (0.5000, 0.5000, 0.5000)  2 Mg 2.57, 2 Cr 2.63, 8 Mo 2.87
Mo (0.0000, 0.0000, 0.5000)  4 Mo 2.57-2.63, 4 Cr 2.87, 4 Mg 2.87
Mo (0.0000, 0.5000, 0.0000)  4 Mo 2.57-2.63, 4 Mg 2.87, 4 Cr 2.87

Computed properties:
**Fermi-level density of states**: 0.82 states/eV/atom
**Calculated formation energy**: 0.514 eV/atom
**VASP energy**: -8.36 eV/atom
**Calculated volume**: 60 Å³ per cell



(9)
# Mg3CrMo

A geometry-optimized Mg3CrMo structure (GGA-PBEsol, Alexandria).

Cell lengths 4.8420, 4.8420, 4.8420 Å; angles 90.00, 90.00, 90.00 degrees
Closest atoms and distances in Å follow each position.
Fractional positions:
Mg (0.0000, 0.5000, 0.0000)  2 Cr 2.42
Mg (0.0000, 0.0000, 0.5000)  2 Cr 2.42
Mg (0.5000, 0.0000, 0.0000)  2 Cr 2.42
Mo (0.5000, 0.5000, 0.5000)  12 Mg 3.42
Cr (0.0000, 0.0000, 0.0000)  6 Mg 2.42

Computed properties:
**Fermi-level density of states**: 0.92 states/eV/atom
**Calculated formation energy**: 1.596 eV/atom
**VASP energy**: -3.84 eV/atom
**Calculated volume**: 114 Å³ per cell



(10)
# MgCr2Mo

A geometry-optimized MgCr2Mo structure (GGA-PBEsol, Alexandria).

Cell lengths 2.9331, 4.3639, 5.0205 Å; angles 115.76, 106.98, 90.00 degrees
Closest atoms and distances in Å follow each position.
Fractional positions:
Mg (0.4914, 0.4914, 0.9828)  8 Cr 2.64-2.95, 4 Mo 2.79-2.90, 2 Mg 2.93
Mo (0.2686, 0.7686, 0.5372)  6 Cr 2.58-2.66, 2 Mg 2.79
Cr (0.0171, 0.0171, 0.0343)  2 Cr 2.29
Cr (0.7229, 0.2229, 0.4457)  2 Cr 2.29

Computed properties:
**Fermi-level density of states**: 0.69 states/eV/atom
**Calculated formation energy**: 0.408 eV/atom
**VASP energy**: -8.08 eV/atom
**Calculated volume**: 55 Å³ per cell



(11)
# MgCr2Mo

A geometry-optimized MgCr2Mo structure (GGA-PBEsol, Alexandria).

Cell lengths 2.8809, 2.8809, 8.4536 Å; angles 80.19, 80.19, 60.00 degrees
Closest atoms and distances in Å follow each position.
Fractional positions:
Mo (0.0000, 0.0000, 0.0000)  6 Cr 2.46
Mg (0.5000, 0.5000, 0.5000)  6 Cr 2.86, 6 Mg 2.88
Cr (0.2602, 0.2602, 0.2193)  3 Mo 2.46
Cr (0.7398, 0.7398, 0.7807)  3 Mo 2.46

Computed properties:
**Fermi-level density of states**: 1.11 states/eV/atom
**Calculated formation energy**: 0.597 eV/atom
**VASP energy**: -7.90 eV/atom
**Calculated volume**: 60 Å³ per cell



(12)
# MgZr2CrMo

A geometry-optimized MgZr2CrMo structure (GGA-PBEsol, Alexandria).

Cell lengths 4.3274, 4.9055, 4.9055 Å; angles 90.00, 90.00, 90.00 degrees
Closest atoms and distances in Å follow each position.
Fractional positions:
Mo (0.5000, 0.0000, 0.0000)  2 Cr 2.16
Zr (0.0000, 0.0000, 0.5000)  2 Cr 2.45
Zr (0.0000, 0.5000, 0.0000)  2 Cr 2.45
Mg (0.5000, 0.5000, 0.5000)  8 Zr 3.27, 4 Mo 3.47
Cr (0.0000, 0.0000, 0.0000)  2 Mo 2.16

Computed properties:
**Fermi-level density of states**: 1.22 states/eV/atom
**Calculated formation energy**: 0.631 eV/atom
**VASP energy**: -7.75 eV/atom
**Calculated volume**: 104 Å³ per cell